Entry 1:
KYTc2 after structural relaxation. Source: the Alexandria database, functional GGA-PBE.

The structure in POSCAR format:
```
KYTc2
1.0
0.0000 3.5417 3.5417
3.5417 0.0000 3.5417
3.5417 3.5417 0.0000
K Y Tc
1 1 2
Cartesian
0.0000 0.0000 0.0000
3.5417 3.5417 3.5417
1.7708 1.7708 1.7708
5.3125 5.3125 5.3125
```

- uncorrected energy (eV per atom) = -5.649
- density of states at the Fermi level (states/eV/cell) = 4.7
- ρ (g/cm3) = 6.06
- energy relative to the lowest polymorph listed for this composition (kJ/mol of atoms) = 95.9
- formation enthalpy at 0 K (kJ/mol of atoms) = 137

=====

Entry 2:
KYTc2 after structural relaxation. Source: the Alexandria database, functional GGA-PBE.

The structure in POSCAR format:
```
KYTc2
1.0
2.7700 -5.2550 0.0000
2.7700 5.2550 0.0000
-0.3407 0.0000 2.7456
K Y Tc
1 1 2
Cartesian
0.0000 0.0000 0.0000
2.7700 0.0000 0.0000
1.2146 2.6275 1.3728
1.2146 -2.6275 1.3728
```

- uncorrected energy (eV per atom) = -5.938
- density of states at the Fermi level (states/eV/cell) = 3.7
- ρ (g/cm3) = 6.73
- energy relative to the lowest polymorph listed for this composition (kJ/mol of atoms) = 68.0
- formation enthalpy at 0 K (kJ/mol of atoms) = 110

=====

Entry 3:
KYTc after structural relaxation. Source: the Alexandria database, functional GGA-PBE.

The structure in POSCAR format:
```
KYTc
1.0
0.0000 3.5760 3.5760
3.5760 0.0000 3.5760
3.5760 3.5760 0.0000
K Y Tc
1 1 1
Cartesian
0.0000 0.0000 0.0000
3.5760 3.5760 3.5760
1.7880 1.7880 1.7880
```

- uncorrected energy (eV per atom) = -4.595
- density of states at the Fermi level (states/eV/cell) = 6.8
- ρ (g/cm3) = 4.10
- energy relative to the lowest polymorph listed for this composition (kJ/mol of atoms) = 60.5
- formation enthalpy at 0 K (kJ/mol of atoms) = 133

=====

Entry 4:
KYTc after structural relaxation. Source: the Alexandria database, functional GGA-PBE.

The structure in POSCAR format:
```
KYTc
1.0
-1.7919 1.7919 7.1725
1.7919 -1.7919 7.1725
1.7919 1.7919 -7.1725
K Y Tc
1 1 1
Cartesian
0.0000 0.0000 0.0000
0.0000 0.0000 10.6485
0.0000 0.0000 4.6782
```

- uncorrected energy (eV per atom) = -5.222
- density of states at the Fermi level (states/eV/cell) = 3.1
- ρ (g/cm3) = 4.07
- energy relative to the lowest polymorph listed for this composition (kJ/mol of atoms) = 0.0
- formation enthalpy at 0 K (kJ/mol of atoms) = 73

=====

Entry 5:
KY2ZrTc after structural relaxation. Source: the Alexandria database, functional GGA-PBE.

The structure in POSCAR format:
```
KY2ZrTc
1.0
5.2476 0.0000 0.0000
0.0000 5.2476 0.0000
0.0000 0.0000 4.6220
K Y Zr Tc
1 2 1 1
Cartesian
0.0000 0.0000 0.0000
0.0000 2.6238 0.0000
2.6238 0.0000 0.0000
2.6238 2.6238 2.3110
0.0000 0.0000 2.3110
```

- uncorrected energy (eV per atom) = -4.895
- density of states at the Fermi level (states/eV/cell) = 7.3
- ρ (g/cm3) = 5.30
- energy relative to the lowest polymorph listed for this composition (kJ/mol of atoms) = 61.6
- formation enthalpy at 0 K (kJ/mol of atoms) = 163

=====

Entry 6:
KY2ZrTc after structural relaxation. Source: the Alexandria database, functional GGA-PBE.

The structure in POSCAR format:
```
KY2ZrTc
1.0
5.3018 0.0000 0.0000
0.0000 5.3018 0.0000
0.0000 0.0000 5.6148
K Y Zr Tc
1 2 1 1
Cartesian
0.0000 0.0000 0.0000
0.0000 2.6509 2.8074
2.6509 0.0000 2.8074
2.6509 2.6509 0.0000
0.0000 0.0000 2.8074
```

- uncorrected energy (eV per atom) = -5.534
- density of states at the Fermi level (states/eV/cell) = 8.4
- ρ (g/cm3) = 4.27
- energy relative to the lowest polymorph listed for this composition (kJ/mol of atoms) = 0.0
- formation enthalpy at 0 K (kJ/mol of atoms) = 102

=====

Entry 7:
KYZr2Tc after structural relaxation. Source: the Alexandria database, functional GGA-PBE.

The structure in POSCAR format:
```
KYZr2Tc
1.0
4.8443 0.0000 0.0000
0.0000 4.8443 0.0000
0.0000 0.0000 5.0365
K Y Zr Tc
1 1 2 1
Cartesian
0.0000 0.0000 0.0000
0.0000 0.0000 2.5183
0.0000 2.4222 0.0000
2.4222 0.0000 0.0000
2.4222 2.4222 2.5183
```

- uncorrected energy (eV per atom) = -4.906
- density of states at the Fermi level (states/eV/cell) = 6.3
- ρ (g/cm3) = 5.74
- formation enthalpy at 0 K (kJ/mol of atoms) = 203

=====

Entry 8:
KZnTc2 after structural relaxation. Source: the Alexandria database, functional GGA-PBE.

The structure in POSCAR format:
```
KZnTc2
1.0
2.7516 0.0000 0.0000
0.0000 4.2928 0.0000
-0.8329 0.0000 7.3931
K Zn Tc
1 1 2
Cartesian
0.0000 0.0000 0.0000
-0.4165 0.0000 3.6965
0.9496 2.1464 2.5942
0.9691 2.1464 4.7989
```

- uncorrected energy (eV per atom) = -4.989
- density of states at the Fermi level (states/eV/cell) = 3.6
- ρ (g/cm3) = 5.71
- formation enthalpy at 0 K (kJ/mol of atoms) = 76

=====

Entry 9:
KZnTc2 after structural relaxation. Source: the Alexandria database, functional GGA-PBE.

The structure in POSCAR format:
```
KZnTc2
1.0
3.8212 0.0000 0.0000
0.0000 3.8212 0.0000
0.0000 0.0000 4.9752
K Zn Tc
1 1 2
Cartesian
0.0000 0.0000 0.0000
1.9106 1.9106 0.0000
0.0000 1.9106 2.4876
1.9106 0.0000 2.4876
```

- uncorrected energy (eV per atom) = -4.477
- density of states at the Fermi level (states/eV/cell) = 3.5
- ρ (g/cm3) = 6.87
- formation enthalpy at 0 K (kJ/mol of atoms) = 125

=====

Entry 10:
KZnTc2 after structural relaxation. Source: the Alexandria database, functional GGA-PBE.

The structure in POSCAR format:
```
KZnTc2
1.0
2.7452 0.0000 0.0000
0.0000 4.2826 0.0000
0.0000 0.0000 7.4213
K Zn Tc
1 1 2
Cartesian
0.0000 0.0000 0.0000
0.0000 0.0000 3.7107
1.3726 2.1413 2.6053
1.3726 2.1413 4.8161
```

- uncorrected energy (eV per atom) = -4.993
- density of states at the Fermi level (states/eV/cell) = 3.1
- ρ (g/cm3) = 5.72
- formation enthalpy at 0 K (kJ/mol of atoms) = 76

=====

Entry 11:
KZn3Tc after structural relaxation. Source: the Alexandria database, functional GGA-PBE.

The structure in POSCAR format:
```
KZn3Tc
1.0
5.6636 0.0000 0.0000
0.0000 5.6636 0.0000
0.0000 0.0000 5.6636
K Zn Tc
1 3 1
Cartesian
0.0000 0.0000 0.0000
0.0000 0.0000 2.8318
0.0000 2.8318 0.0000
2.8318 0.0000 0.0000
2.8318 2.8318 2.8318
```

- uncorrected energy (eV per atom) = -1.284
- density of states at the Fermi level (states/eV/cell) = 7.9
- ρ (g/cm3) = 3.05
- energy relative to the lowest polymorph listed for this composition (kJ/mol of atoms) = 133.2
- formation enthalpy at 0 K (kJ/mol of atoms) = 171

=====

Entry 12:
KZnTc2 after structural relaxation. Source: the Alexandria database, functional GGA-PBE.

The structure in POSCAR format:
```
KZnTc2
1.0
3.0937 0.0000 0.0000
0.0000 3.0937 0.0000
0.0000 0.0000 8.4517
K Zn Tc
1 1 2
Cartesian
0.0000 0.0000 0.0000
1.5469 1.5469 5.6949
0.0000 0.0000 4.0893
1.5469 1.5469 2.7860
```

- uncorrected energy (eV per atom) = -5.342
- density of states at the Fermi level (states/eV/cell) = 3.3
- ρ (g/cm3) = 6.17
- formation enthalpy at 0 K (kJ/mol of atoms) = 42

=====

Entry 13:
KZnTc2 after structural relaxation. Source: the Alexandria database, functional GGA-PBE.

The structure in POSCAR format:
```
KZnTc2
1.0
1.6199 -2.1107 0.0000
1.6199 2.1107 0.0000
0.0000 0.0000 10.2066
K Zn Tc
1 1 2
Cartesian
0.0000 0.0000 0.0000
0.0000 0.0000 5.1033
1.6199 0.0000 2.9719
1.6199 0.0000 7.2348
```

- uncorrected energy (eV per atom) = -4.994
- density of states at the Fermi level (states/eV/cell) = 2.5
- ρ (g/cm3) = 7.15
- formation enthalpy at 0 K (kJ/mol of atoms) = 75

=====

Entry 14:
KZnTc2 after structural relaxation. Source: the Alexandria database, functional GGA-PBE.

The structure in POSCAR format:
```
KZnTc2
1.0
-1.5357 2.7721 4.9778
1.5357 -2.7721 4.9778
1.5357 2.7721 -4.9778
K Zn Tc
1 1 2
Cartesian
0.0000 0.0000 0.0000
0.0000 2.7721 2.0198
1.5357 0.0000 2.9658
0.0000 0.0000 4.7141
```

- uncorrected energy (eV per atom) = -4.756
- density of states at the Fermi level (states/eV/cell) = 4.8
- ρ (g/cm3) = 5.89
- formation enthalpy at 0 K (kJ/mol of atoms) = 98

=====

Entry 15:
KZnTc2 after structural relaxation. Source: the Alexandria database, functional GGA-PBE.

The structure in POSCAR format:
```
KZnTc2
1.0
2.7659 -5.1646 0.0000
2.7659 5.1646 0.0000
-0.8556 0.0000 2.4728
K Zn Tc
1 1 2
Cartesian
0.0000 0.0000 0.0000
2.7659 0.0000 0.0000
0.9552 2.5823 1.2364
0.9552 -2.5823 1.2364
```

- uncorrected energy (eV per atom) = -4.693
- density of states at the Fermi level (states/eV/cell) = 4.2
- ρ (g/cm3) = 7.06
- formation enthalpy at 0 K (kJ/mol of atoms) = 104